Y2MnTeF: relaxed, PBE+U.

Lattice parameters (Å, degrees): 5.787 4.966 5.787 90.00 90.00 90.00
Last column: magnetic moment on the atom in μB.
Element x y z (fractional)
1 Mn 0.000 0.500 0.000  4.12
2 Te 0.000 0.000 0.000  -0.05
3 F 0.500 0.500 0.500  -0.06
4 Y 0.000 0.000 0.500  -0.59
5 Y 0.500 0.000 0.000  -0.35

Results
Crystal system: tetragonal
Calculated total energy: -0.184 hartree per atom
Symmetry: P4/mmm